No. 1
Entry from Alexandria: a geometry-optimized HoZnSb structure (GGA-PBE).

Cell lengths 4.2815, 4.3818, 4.3818 Å; angles 120.00, 90.00, 90.00 degrees
Fractional coordinates of all 3 atoms:
Sb (0.2598, 0.3333, 0.6667)
Ho (0.7089, 0.6667, 0.3333)
Zn (0.0313, 0.0000, 0.0000)

## Properties
Magnetization in μB per formula unit: 0.00
Space group: P3m1 (156)
Formation energy (no corrections) in kJ per mole of atoms: -54
Energy above the most stable polymorph in this dataset in eV per atom: 0.000

No. 2
Entry from Alexandria: a geometry-optimized Ho2ZnSb structure (GGA-PBE).

Cell lengths 4.1183, 5.9664, 8.6177 Å; angles 108.31, 90.00, 90.00 degrees
Fractional coordinates of all 8 atoms:
Ho (0.7500, 0.2225, 0.4357)
Ho (0.2500, 0.7775, 0.5643)
Ho (0.2500, 0.3007, 0.0753)
Sb (0.2500, 0.8746, 0.2086)
Sb (0.7500, 0.1254, 0.7914)
Zn (0.2500, 0.3825, 0.7061)
Zn (0.7500, 0.6175, 0.2939)
Ho (0.7500, 0.6993, 0.9247)

## Properties
Magnetization in μB per formula unit: 0.00
Space group: P2_1/m (11)
Formation energy (no corrections) in kJ per mole of atoms: -66
Energy above the most stable polymorph in this dataset in eV per atom: 0.000

No. 3
Entry from Alexandria: a geometry-optimized Ho7Zn2Sb2 structure (GGA-PBE).

Cell lengths 7.0426, 6.7102, 7.0426 Å; angles 90.00, 99.81, 90.00 degrees
Fractional coordinates of all 11 atoms:
Ho (0.5000, 0.2420, 0.5000)
Ho (0.0000, 0.2529, 0.5000)
Sb (0.7981, 0.5000, 0.7981)
Zn (0.2759, 0.0000, 0.7241)
Sb (0.2019, 0.5000, 0.2019)
Ho (0.5000, 0.7471, 0.0000)
Ho (0.0000, 0.7471, 0.5000)
Ho (0.5000, 0.7580, 0.5000)
Ho (0.0000, 0.0000, 0.0000)
Zn (0.7241, 0.0000, 0.2759)
Ho (0.5000, 0.2529, 0.0000)

## Properties
Magnetization in μB per formula unit: 0.01
Space group: Cmmm (65)
Formation energy (no corrections) in kJ per mole of atoms: -19

No. 4
Entry from Alexandria: a geometry-optimized Ho2ZnSb structure (GGA-PBE).

Cell lengths 3.8360, 3.8360, 6.6784 Å; angles 90.00, 90.00, 90.00 degrees
Fractional coordinates of all 4 atoms:
Ho (0.0000, 0.0000, 0.2531)
Ho (0.0000, 0.0000, 0.7469)
Zn (0.5000, 0.5000, 0.5000)
Sb (0.5000, 0.5000, 0.0000)

## Properties
Magnetization in μB per formula unit: 0.07
Space group: P4/mmm (123)
Formation energy (no corrections) in kJ per mole of atoms: -56
Energy above the most stable polymorph in this dataset in eV per atom: 0.101

No. 5
Entry from Alexandria: a geometry-optimized Ho8Zn2Sb structure (GGA-PBE).

Cell lengths 4.9743, 6.9902, 9.3501 Å; angles 102.71, 105.43, 90.00 degrees
Fractional coordinates of all 11 atoms:
Zn (0.8077, 0.2723, 0.6155)
Ho (0.4073, 0.5428, 0.8145)
Sb (0.5000, 0.0000, 0.0000)
Ho (0.0317, 0.7525, 0.0633)
Ho (0.7953, 0.6772, 0.5906)
Zn (0.1923, 0.7277, 0.3845)
Ho (0.9683, 0.2475, 0.9367)
Ho (0.5927, 0.4572, 0.1855)
Ho (0.6682, 0.9624, 0.3364)
Ho (0.2047, 0.3228, 0.4094)
Ho (0.3318, 0.0376, 0.6636)

## Properties
Magnetization in μB per formula unit: 0.00
Space group: C2/m (12)
Formation energy (no corrections) in kJ per mole of atoms: -25

No. 6
Entry from Alexandria: a geometry-optimized Ho3ZnSb structure (GGA-PBE).

Cell lengths 4.4729, 11.0731, 8.0197 Å; angles 119.89, 123.88, 90.02 degrees
Fractional coordinates of all 10 atoms:
Sb (0.0305, 0.7494, 0.2800)
Ho (0.4408, 0.4489, 0.6908)
Zn (0.4463, 0.7507, 0.6964)
Ho (0.9548, 0.9488, 0.7047)
Zn (0.5537, 0.2493, 0.3036)
Ho (0.7839, 0.2493, 0.0341)
Ho (0.5592, 0.5511, 0.3092)
Ho (0.2161, 0.7507, 0.9659)
Sb (0.9695, 0.2506, 0.7200)
Ho (0.0452, 0.0512, 0.2953)

## Properties
Magnetization in μB per formula unit: 0.00
Space group: P2_1/m (11)
Formation energy (no corrections) in kJ per mole of atoms: -51

No. 7
Entry from Alexandria: a geometry-optimized Ho2ZrSb2 structure (GGA-PBE).

Cell lengths 6.1071, 7.9642, 7.7324 Å; angles 121.00, 113.26, 90.00 degrees
Fractional coordinates of all 10 atoms:
Sb (0.6076, 0.3279, 0.2152)
Zr (0.7500, 0.5000, 0.0000)
Zr (0.2500, 0.5000, 0.0000)
Ho (0.8505, 0.6933, 0.7011)
Sb (0.8924, 0.1128, 0.7848)
Ho (0.3505, 0.0077, 0.7011)
Sb (0.1076, 0.8872, 0.2152)
Ho (0.6495, 0.9923, 0.2989)
Sb (0.3924, 0.6721, 0.7848)
Ho (0.1495, 0.3067, 0.2989)

## Properties
Magnetization in μB per formula unit: 0.00
Space group: Ibam (72)
Formation energy (no corrections) in kJ per mole of atoms: -69

No. 8
Entry from Alexandria: a geometry-optimized Ho4ZrSb5 structure (GGA-PBE).

Cell lengths 4.3184, 4.3184, 15.5586 Å; angles 97.98, 97.98, 90.00 degrees
Fractional coordinates of all 10 atoms:
Sb (0.0971, 0.0971, 0.1942)
Sb (0.3000, 0.3000, 0.6000)
Sb (0.7000, 0.7000, 0.4000)
Ho (0.8015, 0.8015, 0.6029)
Sb (0.5000, 0.5000, 0.0000)
Ho (0.5993, 0.5993, 0.1986)
Ho (0.4007, 0.4007, 0.8014)
Ho (0.1985, 0.1985, 0.3971)
Zr (0.0000, 0.0000, 0.0000)
Sb (0.9029, 0.9029, 0.8058)

## Properties
Magnetization in μB per formula unit: 0.00
Space group: I4/mmm (139)
Formation energy (no corrections) in kJ per mole of atoms: -96
Energy above the most stable polymorph in this dataset in eV per atom: 0.008

No. 9
Entry from Alexandria: a geometry-optimized Ho5Zr2Sb4 structure (GGA-PBE).

Cell lengths 3.8103, 6.9415, 12.5004 Å; angles 88.57, 98.77, 90.00 degrees
Fractional coordinates of all 11 atoms:
Zr (0.0908, 0.3027, 0.1816)
Sb (0.0287, 0.6795, 0.0574)
Ho (0.2355, 0.2325, 0.4711)
Zr (0.9092, 0.6973, 0.8184)
Sb (0.6657, 0.4886, 0.3314)
Ho (0.7645, 0.7675, 0.5289)
Sb (0.9713, 0.3205, 0.9426)
Ho (0.5000, 0.0000, 0.0000)
Ho (0.8605, 0.1631, 0.7211)
Sb (0.3343, 0.5114, 0.6686)
Ho (0.1395, 0.8369, 0.2789)

## Properties
Magnetization in μB per formula unit: 0.00
Space group: C2/m (12)
Formation energy (no corrections) in kJ per mole of atoms: -31

No. 10
Entry from Alexandria: a geometry-optimized Ho3ZrSb4 structure (GGA-PBE).

Cell lengths 4.2980, 7.4503, 7.4503 Å; angles 109.30, 90.00, 90.00 degrees
Fractional coordinates of all 8 atoms:
Sb (0.5000, 0.2454, 0.7546)
Sb (0.0000, 0.2414, 0.2414)
Ho (0.0000, 0.0000, 0.5000)
Ho (0.0000, 0.5000, 0.0000)
Zr (0.5000, 0.0000, 0.0000)
Sb (0.5000, 0.7546, 0.2454)
Ho (0.5000, 0.5000, 0.5000)
Sb (0.0000, 0.7586, 0.7586)

## Properties
Magnetization in μB per formula unit: 0.00
Space group: Cmmm (65)
Formation energy (no corrections) in kJ per mole of atoms: -94

No. 11
Entry from Alexandria: a geometry-optimized Ho2ZrSb3 structure (GGA-PBE).

Cell lengths 4.2854, 4.2854, 9.5705 Å; angles 102.94, 102.94, 89.98 degrees
Fractional coordinates of all 6 atoms:
Zr (0.4341, 0.4360, 0.8740)
Sb (0.9341, 0.9360, 0.8740)
Ho (0.7666, 0.7678, 0.5384)
Sb (0.5970, 0.5983, 0.1994)
Ho (0.1021, 0.1033, 0.2095)
Sb (0.2716, 0.2728, 0.5485)

## Properties
Magnetization in μB per formula unit: 0.00
Space group: I4/mmm (139)
Formation energy (no corrections) in kJ per mole of atoms: -88

No. 12
Entry from Alexandria: a geometry-optimized Ho3ZrSb4 structure (GGA-PBE).

Cell lengths 7.4323, 7.4543, 8.6230 Å; angles 90.00, 90.00, 109.54 degrees
Fractional coordinates of all 16 atoms:
Sb (0.9997, 0.7588, 0.8794)
Zr (0.7500, 0.0000, 0.8761)
Zr (0.2500, 0.0000, 0.1239)
Ho (0.2500, 0.0000, 0.6254)
Ho (0.7500, 0.0000, 0.3746)
Ho (0.2500, 0.5000, 0.3747)
Sb (0.4997, 0.7588, 0.1206)
Ho (0.7500, 0.5000, 0.6253)
Sb (0.0048, 0.7547, 0.3701)
Sb (0.4952, 0.2453, 0.3701)
Ho (0.7500, 0.5000, 0.1249)
Sb (0.5003, 0.2412, 0.8794)
Ho (0.2500, 0.5000, 0.8751)
Sb (0.0003, 0.2412, 0.1206)
Sb (0.5048, 0.7547, 0.6299)
Sb (0.9952, 0.2453, 0.6299)

## Properties
Magnetization in μB per formula unit: 0.00
Space group: P2/c (13)
Formation energy (no corrections) in kJ per mole of atoms: -94